(1)
Entry from the Alexandria database: a geometry-optimized Y4MgAu5 structure (PBE).

Structure (POSCAR):
```
Y4MgAu5
1.0
3.548 0.000 0.000
0.000 3.548 0.000
0.000 0.000 17.883
Au Y Mg
5 4 1
Cartesian
1.774 1.774 5.263 Au
1.774 1.774 12.619 Au
1.774 1.774 8.941 Au
1.774 1.774 1.610 Au
1.774 1.774 16.272 Au
0.000 0.000 10.785 Y
0.000 0.000 3.390 Y
0.000 0.000 7.097 Y
0.000 0.000 14.492 Y
0.000 0.000 0.000 Mg
```

Properties
calculated total energy = -5.189 eV per atom
symmetry = No. 123
DFT formation energy = -0.806 eV per atom
total magnetization = 0.000 μB per atom

***

(2)
Entry from the Alexandria database: a geometry-optimized YMgAu structure (PBE).

Structure (POSCAR):
```
YMgAu
1.0
-3.843 -1.613 1.357
1.423 -0.167 3.830
-2.584 7.227 1.274
Y Mg Au
2 2 2
Cartesian
-1.389 1.405 2.176 Y
-3.358 2.635 5.144 Y
-4.975 5.259 3.678 Mg
-2.352 6.009 4.918 Mg
-2.350 -0.182 4.647 Au
-2.397 4.223 2.673 Au
```

Properties
calculated total energy = -4.431 eV per atom
symmetry = No. 59
DFT formation energy = -0.652 eV per atom
total magnetization = 0.000 μB per atom

***

(3)
Entry from the Alexandria database: a geometry-optimized YMg11Au structure (PBE).

Structure (POSCAR):
```
YMg11Au
1.0
-5.023 -2.267 -1.610
0.744 -7.466 -1.515
-4.011 -2.672 6.039
Mg Y Au
11 1 1
Cartesian
-0.960 -5.746 1.072 Mg
-2.006 -1.336 3.019 Mg
-5.558 -4.870 3.654 Mg
-2.732 -7.536 -0.741 Mg
0.372 -3.733 -0.758 Mg
-4.346 -5.041 0.488 Mg
-6.124 -9.573 2.473 Mg
-3.945 -7.365 2.424 Mg
-7.330 -6.660 1.841 Mg
-2.166 -2.833 0.440 Mg
-4.517 -2.470 2.214 Mg
0.000 0.000 0.000 Y
-2.140 -4.867 -1.563 Au
```

Properties
calculated total energy = -2.235 eV per atom
symmetry = No. 12
DFT formation energy = -0.136 eV per atom
total magnetization = 0.000 μB per atom

***

(4)
Entry from the Alexandria database: a geometry-optimized Y2Mg3Au4 structure (PBE).

Structure (POSCAR):
```
Y2Mg3Au4
1.0
6.014 0.000 0.000
0.000 7.930 0.000
-3.007 0.000 8.063
Au Y Mg
8 4 6
Cartesian
4.511 1.982 0.857 Au
1.504 1.982 0.857 Au
-1.504 5.947 7.206 Au
3.007 0.337 5.218 Au
0.000 3.628 5.218 Au
3.007 4.302 2.845 Au
1.504 5.947 7.206 Au
0.000 7.593 2.845 Au
0.000 4.716 1.677 Y
0.000 0.751 6.387 Y
3.007 7.179 1.677 Y
3.007 3.214 6.387 Y
1.504 5.947 4.474 Mg
4.511 1.982 3.589 Mg
3.007 3.965 0.000 Mg
1.504 1.982 3.589 Mg
-1.504 5.947 4.474 Mg
0.000 0.000 0.000 Mg
```

Properties
calculated total energy = -4.075 eV per atom
symmetry = No. 64
DFT formation energy = -0.650 eV per atom
total magnetization = 0.000 μB per atom

***

(5)
Entry from the Alexandria database: a geometry-optimized Y2MgAu structure (PBE).

Structure (POSCAR):
```
Y2MgAu
1.0
-6.900 -1.574 4.518
-4.378 -1.120 -7.076
-4.905 -4.454 -1.242
Y Mg Au
4 2 2
Cartesian
-6.402 -2.310 1.835 Y
-4.509 -1.938 -4.375 Y
-13.747 -5.749 -3.494 Y
-7.707 -4.300 -1.567 Y
-5.639 -1.347 -1.279 Mg
-7.461 -3.461 -4.799 Mg
-8.722 -3.688 0.998 Au
0.000 0.000 0.000 Au
```

Properties
calculated total energy = -4.600 eV per atom
symmetry = No. 122
DFT formation energy = -0.150 eV per atom
total magnetization = 0.000 μB per atom

***

(6)
Entry from the Alexandria database: a geometry-optimized Y2MgAu structure (PBE).

Structure (POSCAR):
```
Y2MgAu
1.0
5.135 0.000 0.000
2.568 4.447 0.000
2.568 1.482 4.193
Y Au Mg
2 1 1
Cartesian
0.000 0.000 0.000 Y
2.568 1.482 1.048 Y
5.135 2.965 2.096 Au
7.703 4.447 3.145 Mg
```

Properties
calculated total energy = -4.626 eV per atom
symmetry = No. 216
DFT formation energy = -0.176 eV per atom
total magnetization = 0.218 μB per atom

***

Number 1: V 225.1 Å³/cell. Number 2: V 139.4 Å³/cell. Number 3: V 294.6 Å³/cell. Number 4: V 384.6 Å³/cell. Number 5: V 225.0 Å³/cell. Number 6: V 95.8 Å³/cell.